# CeHo2Fe9 (GGA-PBE, relaxed)
# VASP energy in eV per atom: -7.671
# Calculated formation energy in eV/atom: -0.066
data_CeHo2Fe9
_cell_length_a 5.0619
_cell_length_b 5.0619
_cell_length_c 24.5068
_cell_angle_alpha 90.00
_cell_angle_beta 90.00
_cell_angle_gamma 120.00
_symmetry_space_group_name_H-M 'R -3 m'
_symmetry_Int_Tables_number 166
_symmetry_space_group_name_Hall '-R 3 2"'
loop_
_atom_site_label
_atom_site_fract_x
_atom_site_fract_y
_atom_site_fract_z
Ce1 0.0000 0.0000 0.0000
Ho1 0.0000 0.0000 0.1418
Fe1 0.0000 0.0000 0.3325
Fe2 0.0000 0.0000 0.5000
Fe3 0.0008 0.5004 0.0829